Version one
# LiTaIr2 GGA-PBEsol relaxed
# - Spin magnetization: 0.00 μB/f.u.
# - ρ: 16.80 g cm⁻³
# - DOS at the Fermi energy: 0.25 states/eV/f.u.
# - Crystal system: cubic
data_LiTaIr2
_symmetry_space_group_name_H-M 'F m -3 m'
_symmetry_Int_Tables_number 225
_symmetry_space_group_name_Hall '-F 4 2 3'
_cell_length_a 6.094
_cell_length_b 6.094
_cell_length_c 6.094
_cell_angle_alpha 90.00
_cell_angle_beta 90.00
_cell_angle_gamma 90.00
loop_
_atom_site_label
_atom_site_type_symbol
_atom_site_fract_x
_atom_site_fract_y
_atom_site_fract_z
Li1 Li 0.000 0.000 0.000
Ta1 Ta 0.000 0.000 0.500
Ir1 Ir 0.250 0.250 0.250

=====

Version two
# LiTaIr2 GGA-PBEsol relaxed
# - Spin magnetization: 0.00 μB/f.u.
# - ρ: 16.78 g cm⁻³
# - DOS at the Fermi energy: 2.04 states/eV/f.u.
# - Crystal system: tetragonal
data_LiTaIr2
_symmetry_space_group_name_H-M 'I -4 m 2'
_symmetry_Int_Tables_number 119
_symmetry_space_group_name_Hall 'I -4 -2'
_cell_length_a 3.723
_cell_length_b 3.723
_cell_length_c 8.174
_cell_angle_alpha 90.00
_cell_angle_beta 90.00
_cell_angle_gamma 90.00
loop_
_atom_site_label
_atom_site_type_symbol
_atom_site_fract_x
_atom_site_fract_y
_atom_site_fract_z
Li1 Li 0.000 0.000 0.000
Ta1 Ta 0.000 0.500 0.250
Ir1 Ir 0.000 0.000 0.500
Ir2 Ir 0.000 0.500 0.750

=====

Version three
# LiTaIr2 GGA-PBEsol relaxed
# - Spin magnetization: 0.00 μB/f.u.
# - ρ: 16.60 g cm⁻³
# - DOS at the Fermi energy: 2.26 states/eV/f.u.
# - Crystal system: monoclinic
data_LiTaIr2
_symmetry_space_group_name_H-M 'C 1 2/m 1'
_symmetry_Int_Tables_number 12
_cell_length_a 8.500
_cell_length_b 2.759
_cell_length_c 4.919
_cell_angle_alpha 90.00
_cell_angle_beta 97.14
_cell_angle_gamma 90.00
loop_
_symmetry_equiv_pos_as_xyz
'x,y,z'
'-x,-y,-z'
'-x,y,-z'
'x,-y,z'
'x+1/2,y+1/2,z'
'-x+1/2,-y+1/2,-z'
'-x+1/2,y+1/2,-z'
'x+1/2,-y+1/2,z'
loop_
_atom_site_label
_atom_site_type_symbol
_atom_site_fract_x
_atom_site_fract_y
_atom_site_fract_z
Li1 Li 0.000 0.000 0.000
Ta1 Ta 0.000 0.500 0.500
Ir1 Ir 0.250 0.000 0.767

=====

Name the most stable of them. version one.

=====

Version one
# LiTc2Ir GGA-PBEsol relaxed
# - Spin magnetization: 0.00 μB/f.u.
# - ρ: 11.66 g cm⁻³
# - DOS at the Fermi energy: 3.25 states/eV/f.u.
# - Crystal system: orthorhombic
data_LiTc2Ir
_symmetry_space_group_name_H-M 'C m m 2'
_symmetry_Int_Tables_number 35
_cell_length_a 2.770
_cell_length_b 4.486
_cell_length_c 9.056
_cell_angle_alpha 90.00
_cell_angle_beta 90.00
_cell_angle_gamma 90.00
loop_
_symmetry_equiv_pos_as_xyz
'x,y,z'
'-x,-y,z'
'-x,y,z'
'x,-y,z'
'x+1/2,y+1/2,z'
'-x+1/2,-y+1/2,z'
'-x+1/2,y+1/2,z'
'x+1/2,-y+1/2,z'
loop_
_atom_site_label
_atom_site_type_symbol
_atom_site_fract_x
_atom_site_fract_y
_atom_site_fract_z
Li1 Li 0.000 0.000 0.000
Tc1 Tc 0.000 0.000 0.498
Tc2 Tc 0.000 0.500 0.737
Ir1 Ir 0.000 0.500 0.244

=====

Version two
# LiTc2Ir GGA-PBEsol relaxed
# - Spin magnetization: 0.00 μB/f.u.
# - ρ: 12.38 g cm⁻³
# - DOS at the Fermi energy: 3.71 states/eV/f.u.
# - Crystal system: tetragonal
data_LiTc2Ir
_symmetry_space_group_name_H-M 'P 4/m m m'
_symmetry_Int_Tables_number 123
_symmetry_space_group_name_Hall '-P 4 2'
_cell_length_a 3.623
_cell_length_b 3.623
_cell_length_c 4.038
_cell_angle_alpha 90.00
_cell_angle_beta 90.00
_cell_angle_gamma 90.00
loop_
_atom_site_label
_atom_site_type_symbol
_atom_site_fract_x
_atom_site_fract_y
_atom_site_fract_z
Li1 Li 0.000 0.000 0.000
Tc1 Tc 0.000 0.500 0.500
Ir1 Ir 0.500 0.500 0.000

=====

Name the most stable of them. version one.